(1)
# BeTlAs2 | the Alexandria database | GGA-PBE | relaxed
# Energy above the lowest structure with this stoichiometry (eV/atom): 0.3335
# ΔE_f (meV per atom): 321
# Calculated volume (Å³/cell): 85.0
data_BeTlAs2
_space_group_name_H-M_alt 'P 4 m m'
_space_group_IT_number 99
_cell_length_a 3.3581
_cell_length_b 3.3581
_cell_length_c 7.5408
_cell_angle_alpha 90.00
_cell_angle_beta 90.00
_cell_angle_gamma 90.00
loop_
_space_group_symop_operation_xyz
'x,y,z'
'-y,x,z'
'-x,-y,z'
'y,-x,z'
'-x,y,z'
'y,x,z'
'x,-y,z'
'-y,-x,z'
loop_
_atom_site_label
_atom_site_type_symbol
_atom_site_fract_x
_atom_site_fract_y
_atom_site_fract_z
Be1 Be 0.0000 0.0000 0.0000
Tl1 Tl 0.5000 0.5000 0.4143
As1 As 0.0000 0.0000 0.7054
As2 As 0.5000 0.5000 0.0031



(2)
# Sr4Ho3AgS8 | the Alexandria database | GGA-PBE | relaxed
# Calculated volume (Å³/cell): 1152.7
data_Sr4Ho3AgS8
_space_group_name_H-M_alt 'R -3 m'
_space_group_IT_number 166
_space_group_name_Hall '-R 3 2"'
_cell_length_a 8.1384
_cell_length_b 8.1384
_cell_length_c 20.0965
_cell_angle_alpha 90.00
_cell_angle_beta 90.00
_cell_angle_gamma 120.00
loop_
_atom_site_label
_atom_site_type_symbol
_atom_site_fract_x
_atom_site_fract_y
_atom_site_fract_z
Sr1 Sr 0.0000 0.0000 0.0000
Sr2 Sr 0.0000 0.5000 0.0000
Ho1 Ho 0.0000 0.5000 0.5000
Ag1 Ag 0.0000 0.0000 0.5000
S1 S 0.0000 0.0000 0.2423
S2 S 0.0082 0.5041 0.7573



(3)
# Rb3Pa3FeTe8 | the Alexandria database | GGA-PBE | relaxed
# Calculated volume (Å³/cell): 1757.6
data_Rb3Pa3FeTe8
_space_group_name_H-M_alt 'R -3 m'
_space_group_IT_number 166
_space_group_name_Hall '-R 3 2"'
_cell_length_a 8.7271
_cell_length_b 8.7271
_cell_length_c 26.6494
_cell_angle_alpha 90.00
_cell_angle_beta 90.00
_cell_angle_gamma 120.00
loop_
_atom_site_label
_atom_site_type_symbol
_atom_site_fract_x
_atom_site_fract_y
_atom_site_fract_z
Rb1 Rb 0.0000 0.5000 0.0000
Pa1 Pa 0.0000 0.5000 0.5000
Fe1 Fe 0.0000 0.0000 0.5000
Te1 Te 0.0000 0.0000 0.2356
Te2 Te 0.0147 0.5073 0.2300



(4)
# K3Nd2NpS6 | the Alexandria database | GGA-PBE | relaxed
# Calculated volume (Å³/cell): 668.4
data_K3Nd2NpS6
_space_group_name_H-M_alt 'C 1 2/m 1'
_space_group_IT_number 12
_cell_length_a 7.2284
_cell_length_b 12.5179
_cell_length_c 7.7691
_cell_angle_alpha 90.00
_cell_angle_beta 108.05
_cell_angle_gamma 90.00
loop_
_space_group_symop_operation_xyz
'x,y,z'
'-x,-y,-z'
'-x,y,-z'
'x,-y,z'
'x+1/2,y+1/2,z'
'-x+1/2,-y+1/2,-z'
'-x+1/2,y+1/2,-z'
'x+1/2,-y+1/2,z'
loop_
_atom_site_label
_atom_site_type_symbol
_atom_site_fract_x
_atom_site_fract_y
_atom_site_fract_z
K1 K 0.0000 0.0000 0.0000
K2 K 0.0000 0.3319 0.0000
Nd1 Nd 0.0000 0.1659 0.5000
Np1 Np 0.0000 0.5000 0.5000
S1 S 0.2324 0.3363 0.7058
S2 S 0.2415 0.0000 0.7066



(5)
# DyFeH3 | the Alexandria database | GGA-PBE | relaxed
# Calculated volume (Å³/cell): 42.9
data_DyFeH3
_space_group_name_H-M_alt 'P m -3 m'
_space_group_IT_number 221
_space_group_name_Hall '-P 4 2 3'
_cell_length_a 3.5011
_cell_length_b 3.5011
_cell_length_c 3.5011
_cell_angle_alpha 90.00
_cell_angle_beta 90.00
_cell_angle_gamma 90.00
loop_
_atom_site_label
_atom_site_type_symbol
_atom_site_fract_x
_atom_site_fract_y
_atom_site_fract_z
Dy1 Dy 0.0000 0.0000 0.0000
Fe1 Fe 0.5000 0.5000 0.5000
H1 H 0.0000 0.5000 0.5000



(6)
# HfAsPd | the Alexandria database | GGA-PBE | relaxed
# ΔE_f (meV per atom): -723
# Calculated volume (Å³/cell): 109.8
data_HfAsPd
_space_group_name_H-M_alt 'P m m 2'
_space_group_IT_number 25
_cell_length_a 3.5493
_cell_length_b 3.7305
_cell_length_c 8.2945
_cell_angle_alpha 90.00
_cell_angle_beta 90.00
_cell_angle_gamma 90.00
loop_
_space_group_symop_operation_xyz
'x,y,z'
'-x,-y,z'
'-x,y,z'
'x,-y,z'
loop_
_atom_site_label
_atom_site_type_symbol
_atom_site_fract_x
_atom_site_fract_y
_atom_site_fract_z
Hf1 Hf 0.0000 0.0000 0.0000
Hf2 Hf 0.0000 0.5000 0.4432
As1 As 0.0000 0.0000 0.6874
As2 As 0.5000 0.0000 0.3292
Pd1 Pd 0.5000 0.5000 0.1139
Pd2 Pd 0.5000 0.5000 0.7717



(7)
# PrSmGa4 | the Alexandria database | GGA-PBE | relaxed
# Energy above the lowest structure with this stoichiometry (eV/atom): 0.0125
# ΔE_f (meV per atom): -677
# Calculated volume (Å³/cell): 271.5
data_PrSmGa4
_space_group_name_H-M_alt 'I -4 m 2'
_space_group_IT_number 119
_space_group_name_Hall 'I -4 -2'
_cell_length_a 4.2704
_cell_length_b 4.2704
_cell_length_c 14.8905
_cell_angle_alpha 90.00
_cell_angle_beta 90.00
_cell_angle_gamma 90.00
loop_
_atom_site_label
_atom_site_type_symbol
_atom_site_fract_x
_atom_site_fract_y
_atom_site_fract_z
Pr1 Pr 0.0000 0.0000 0.0000
Sm1 Sm 0.0000 0.5000 0.2500
Ga1 Ga 0.0000 0.0000 0.4163
Ga2 Ga 0.0000 0.5000 0.6675



(8)
# TbPrTm2Sc | the Alexandria database | GGA-PBE | relaxed
# ΔE_f (meV per atom): 27
# Calculated volume (Å³/cell): 307.3
data_TbPrTm2Sc
_space_group_name_H-M_alt 'P 1 21/m 1'
_space_group_IT_number 11
_cell_length_a 6.1985
_cell_length_b 5.5634
_cell_length_c 9.4283
_cell_angle_alpha 90.00
_cell_angle_beta 109.08
_cell_angle_gamma 90.00
loop_
_space_group_symop_operation_xyz
'x,y,z'
'-x,-y,-z'
'-x,y+1/2,-z'
'x,-y+1/2,z'
loop_
_atom_site_label
_atom_site_type_symbol
_atom_site_fract_x
_atom_site_fract_y
_atom_site_fract_z
Tb1 Tb 0.1337 0.2500 0.1010
Pr1 Pr 0.2658 0.7500 0.6936
Tm1 Tm 0.0715 0.7500 0.3053
Tm2 Tm 0.4652 0.7500 0.1019
Sc1 Sc 0.3447 0.2500 0.4991



Number 1: final energy -14.11 eV per cell. Number 2: final energy -258.18 eV per cell. Number 3: final energy -228.50 eV per cell. Number 4: final energy -141.51 eV per cell. Number 5: final energy -25.06 eV per cell. Number 6: final energy -43.93 eV per cell. Number 7: final energy -51.33 eV per cell. Number 8: final energy -49.10 eV per cell.